{
  "formula": "CoPNCl2",
  "functional": "PBE",
  "state": "optimized geometry",
  "lattice": [[5.5848, 0.0000, 0.0000], [0.0000, 5.5848, 0.0000], [0.0000, 0.0000, 3.2447]],
  "species": ["Co", "P", "N", "Cl", "Cl"],
  "fractional_positions": [[0.0000, 0.0000, 0.0000], [0.5000, 0.5000, 0.0000], [0.5000, 0.5000, 0.5000], [0.0000, 0.5000, 0.5000], [0.5000, 0.0000, 0.5000]],
  "e_form_raw_ev_per_atom": 1.10,
  "sg": "P4/mmm (123)"
}

{
  "formula": "BaPr2Pd",
  "functional": "PBE",
  "state": "optimized geometry",
  "lattice": [[2.1559, 1.2447, 9.8785], [-2.1559, 1.2447, 9.8785], [0.0000, -2.4895, 9.8785]],
  "species": ["Ba", "Pr", "Pr", "Pd"],
  "fractional_positions": [[0.0000, 0.0000, 0.0000], [0.5506, 0.5506, 0.5506], [0.7798, 0.7798, 0.7798], [0.1651, 0.1651, 0.1651]],
  "sg": "R3m (160)"
}

| no. | M_tot (μB per cell) | excess energy over the best structure of this formula in the dataset (meV/atom) | D(E_F) (states/eV/cell) |
| --- | --- | --- | --- |
| 1 | 2.1 | 0 | 5.430 |
| 2 | 0.0 | 0 | 5.217 |